Entry 1:
Here is a relaxed structure of Hf2BePt2 from Alexandria via LeMat-Bulk. Energies are from PBE.

VASP energy = -7.563 eV/atom
DOS at the Fermi energy = 0.43 states/eV per atom
Mass density = 13.45 g cm⁻³
Symmetry = P4/mbm

a = 7.5239 Å, b = 7.5239 Å, c = 3.2987 Å
α = 90.00°, β = 90.00°, γ = 90.00°
With the nearest neighbours (Å) after each atom.
Fractional coordinates of all 10 atoms:
Be 0.0000 0.0000 0.0000  4 Hf 2.81
Be 0.5000 0.5000 0.0000  4 Hf 2.81
Hf 0.3347 0.8347 0.0000  6 Pt 2.70-2.80, 2 Be 2.81
Hf 0.8347 0.6653 0.0000  6 Pt 2.70-2.80, 2 Be 2.81
Hf 0.6653 0.1653 0.0000  6 Pt 2.70-2.80, 2 Be 2.81
Hf 0.1653 0.3347 0.0000  6 Pt 2.70-2.80, 2 Be 2.81
Pt 0.1333 0.6333 0.5000  6 Hf 2.70-2.80, 1 Pt 2.84
Pt 0.6333 0.8667 0.5000  6 Hf 2.70-2.80, 1 Pt 2.84
Pt 0.8667 0.3667 0.5000  6 Hf 2.70-2.80, 1 Pt 2.84
Pt 0.3667 0.1333 0.5000  6 Hf 2.70-2.80, 1 Pt 2.84

***

Entry 2:
Here is a relaxed structure of ScSn2S from Alexandria via LeMat-Bulk. Energies are from PBE.

VASP energy = -4.748 eV/atom
DOS at the Fermi energy = 0.93 states/eV per atom
Energy relative to the elements, uncorrected = -13 kJ/mol of atoms
Mass density = 5.43 g cm⁻³
Symmetry = I-42d

a = 8.1367 Å, b = 8.1367 Å, c = 6.4457 Å
α = 50.86°, β = 50.86°, γ = 90.00°
With the nearest neighbours (Å) after each atom.
Fractional coordinates of all 8 atoms:
Sc 0.0000 0.0000 0.0000  2 S 2.91, 4 Sn 3.08
Sc 0.7500 0.2500 0.5000  2 S 2.91, 4 Sn 3.08
S 0.5000 0.5000 0.0000  4 Sn 2.86, 2 Sc 2.91
S 0.2500 0.7500 0.5000  4 Sn 2.86, 2 Sc 2.91
Sn 0.6060 0.1250 0.2500  2 S 2.86, 2 Sn 2.92, 2 Sc 3.08
Sn 0.1440 0.6250 0.2500  2 S 2.86, 2 Sn 2.92, 2 Sc 3.08
Sn 0.3750 0.3940 0.7500  2 S 2.86, 2 Sn 2.92, 2 Sc 3.08
Sn 0.8750 0.8560 0.7500  2 S 2.86, 2 Sn 2.92, 2 Sc 3.08

***

Entry 3:
Here is a relaxed structure of CeNd2Br6 from Alexandria via LeMat-Bulk. Energies are from PBE.

VASP energy = -4.297 eV/atom
DOS at the Fermi energy = 1.61 states/eV per atom
Energy relative to the elements, uncorrected = -141 kJ/mol of atoms
Mass density = 4.78 g cm⁻³
Symmetry = C2/m

a = 5.7005 Å, b = 9.7648 Å, c = 5.9886 Å
α = 98.17°, β = 90.00°, γ = 106.97°
With the nearest neighbours (Å) after each atom.
Fractional coordinates of all 9 atoms:
Ce 0.0000 0.0000 0.5000  6 Br 2.98-3.33
Nd 0.7451 0.4901 0.7947  6 Br 2.89-3.07
Nd 0.2549 0.5099 0.2053  6 Br 2.89-3.07
Br 0.9058 0.8116 0.8594  1 Nd 2.97, 1 Ce 2.98
Br 0.7551 0.5102 0.2869  4 Nd 2.89-3.07
Br 0.2449 0.4898 0.7131  4 Nd 2.89-3.07
Br 0.5839 0.1679 0.6646  1 Nd 2.99, 2 Ce 3.33
Br 0.4161 0.8321 0.3354  1 Nd 2.99, 2 Ce 3.33
Br 0.0942 0.1884 0.1406  1 Nd 2.97, 1 Ce 2.98

***

Entry 4:
Here is a relaxed structure of MgSn5Pb4 from Alexandria via LeMat-Bulk. Energies are from PBE.

VASP energy = -3.637 eV/atom
DOS at the Fermi energy = 0.40 states/eV per atom
Mass density = 8.42 g cm⁻³
Symmetry = P4/mmm

a = 3.4282 Å, b = 3.4282 Å, c = 24.2736 Å
α = 90.00°, β = 90.00°, γ = 90.00°
With the nearest neighbours (Å) after each atom.
Fractional coordinates of all 10 atoms:
Mg 0.0000 0.0000 0.0000  8 Sn 3.18, 4 Mg 3.43
Sn 0.5000 0.5000 0.0850  4 Mg 3.18, 4 Sn 3.43, 4 Pb 3.51
Sn 0.5000 0.5000 0.2928  4 Sn 3.43, 8 Pb 3.49-3.50
Sn 0.5000 0.5000 0.5000  4 Sn 3.43, 8 Pb 3.49
Sn 0.5000 0.5000 0.7072  4 Sn 3.43, 8 Pb 3.49-3.50
Sn 0.5000 0.5000 0.9150  4 Mg 3.18, 4 Sn 3.43, 4 Pb 3.51
Pb 0.0000 0.0000 0.1895  4 Pb 3.43, 8 Sn 3.49-3.51
Pb 0.0000 0.0000 0.3968  4 Pb 3.43, 8 Sn 3.49-3.50
Pb 0.0000 0.0000 0.6032  4 Pb 3.43, 8 Sn 3.49-3.50
Pb 0.0000 0.0000 0.8105  4 Pb 3.43, 8 Sn 3.49-3.51

***

Entry 5:
Here is a relaxed structure of NaSi from Alexandria via LeMat-Bulk. Energies are from PBE.

VASP energy = -3.280 eV/atom
DOS at the Fermi energy = 0.34 states/eV per atom
Energy relative to the elements, uncorrected = 9 kJ/mol of atoms
Mass density = 1.71 g cm⁻³
Symmetry = P-1

a = 3.7733 Å, b = 5.4565 Å, c = 5.7495 Å
α = 65.82°, β = 71.07°, γ = 70.08°
With the nearest neighbours (Å) after each atom.
Fractional coordinates of all 4 atoms:
Na 0.9136 0.8553 0.8109  6 Si 3.11-3.34, 3 Na 3.20-3.48
Na 0.0864 0.1447 0.1891  6 Si 3.11-3.34, 3 Na 3.20-3.48
Si 0.7247 0.6328 0.4187  2 Si 2.32
Si 0.2753 0.3672 0.5813  2 Si 2.32

***

Entry 6:
Here is a relaxed structure of CaPtRh from Alexandria via LeMat-Bulk. Energies are from PBE.

VASP energy = -4.805 eV/atom
DOS at the Fermi energy = 0.47 states/eV per atom
Mass density = 8.85 g cm⁻³
Symmetry = F-43m

a = 4.4773 Å, b = 4.4773 Å, c = 4.4773 Å
α = 60.00°, β = 60.00°, γ = 60.00°
With the nearest neighbours (Å) after each atom.
Fractional coordinates of all 3 atoms:
Ca 0.7500 0.7500 0.7500  4 Rh 2.74, 4 Pt 2.74
Rh 0.5000 0.5000 0.5000  4 Ca 2.74
Pt 0.0000 0.0000 0.0000  4 Ca 2.74

***

Entry 7:
Here is a relaxed structure of TmTc4C2 from Alexandria via LeMat-Bulk. Energies are from PBE.

VASP energy = -9.138 eV/atom
DOS at the Fermi energy = 0.24 states/eV per atom
Mass density = 9.43 g cm⁻³
Symmetry = Cmmm

a = 3.9219 Å, b = 3.9543 Å, c = 6.9299 Å
α = 106.58°, β = 90.00°, γ = 90.00°
With the nearest neighbours (Å) after each atom.
Fractional coordinates of all 7 atoms:
Tm 0.0000 0.0000 0.0000  8 Tc 3.05-3.12, 8 C 3.28
Tc 0.5000 0.8240 0.6480  2 C 2.07
Tc 0.0000 0.6821 0.3643  2 C 2.08
Tc 0.5000 0.1760 0.3520  2 C 2.07
Tc 0.0000 0.3179 0.6357  2 C 2.08
C 0.5000 0.6302 0.2603  4 Tc 2.07-2.08
C 0.5000 0.3698 0.7397  4 Tc 2.07-2.08

***

Entry 8:
Here is a relaxed structure of LaTaIn2O8 from Alexandria via LeMat-Bulk. Energies are from PBE.

VASP energy = -7.201 eV/atom
DOS at the Fermi energy = 0.61 states/eV per atom
Energy relative to the elements, uncorrected = -197 kJ/mol of atoms
Mass density = 6.56 g cm⁻³
Symmetry = Cmmm

a = 4.9565 Å, b = 4.9466 Å, c = 6.9989 Å
α = 90.00°, β = 90.00°, γ = 89.55°
With the nearest neighbours (Å) after each atom.
Fractional coordinates of all 12 atoms:
La 0.0000 0.0000 0.5000  6 O 2.29-2.44
Ta 0.0000 0.0000 0.0000  6 O 1.98-2.03
In 0.5000 0.5000 0.7621  6 O 2.16-2.23
In 0.5000 0.5000 0.2379  6 O 2.16-2.23
O 0.1920 0.8080 0.2092  1 Ta 1.98, 1 In 2.16
O 0.7108 0.7107 0.0000  1 Ta 2.03, 2 In 2.23
O 0.8080 0.1920 0.2092  1 Ta 1.98, 1 In 2.16
O 0.8080 0.1920 0.7908  1 Ta 1.98, 1 In 2.16
O 0.2892 0.2893 0.0000  1 Ta 2.03, 2 In 2.23
O 0.1920 0.8080 0.7908  1 Ta 1.98, 1 In 2.16
O 0.6747 0.6743 0.5000  2 In 2.21, 1 La 2.29, 1 O 2.45
O 0.3253 0.3257 0.5000  2 In 2.21, 1 La 2.29, 1 O 2.45